{
  "formula": "LaBiO",
  "functional": "PBE",
  "state": "relaxed",
  "m_tot_mub_per_fu": 0.1,
  "vol_a3_per_atom": 25.81,
  "e_form_raw_ev_per_atom": -1.927,
  "polymorph_energy_ev_per_atom": 0.043,
  "spacegroup": "P-3m1 (164)",
  "cell": [[-1.0610, 3.1022, -2.4752], [1.0696, -3.6298, -1.5988], [-10.1088, -3.1490, 0.3863]],
  "species": ["La", "La", "Bi", "Bi", "O", "O"],
  "fractional_positions": [[0.6667, 0.3333, 0.1415], [0.3333, 0.6667, 0.8585], [0.6667, 0.3333, 0.5944], [0.3333, 0.6667, 0.4056], [0.6667, 0.3333, 0.9165], [0.3333, 0.6667, 0.0835]]
}

=====

{
  "formula": "Nd2Sn3HgRh4",
  "functional": "PBE",
  "state": "relaxed",
  "m_tot_mub_per_fu": 0.0,
  "vol_a3_per_atom": 21.79,
  "e_form_ev_per_fu": -5.98,
  "spacegroup": "P-4m2 (115)",
  "cell": [[4.4190, 0.0000, 0.0000], [0.0000, 4.4190, 0.0000], [0.0000, 0.0000, 11.1589]],
  "species": ["Nd", "Nd", "Sn", "Sn", "Sn", "Hg", "Rh", "Rh", "Rh", "Rh"],
  "fractional_positions": [[0.5000, 0.0000, 0.2483], [0.0000, 0.5000, 0.7517], [0.0000, 0.0000, 0.5000], [0.5000, 0.0000, 0.8729], [0.0000, 0.5000, 0.1271], [0.5000, 0.5000, 0.5000], [0.5000, 0.5000, 0.0000], [0.0000, 0.0000, 0.0000], [0.5000, 0.0000, 0.6427], [0.0000, 0.5000, 0.3573]]
}

=====

{
  "formula": "FeHg2Cl",
  "functional": "PBE",
  "state": "relaxed",
  "m_tot_mub_per_fu": 3.0,
  "vol_a3_per_atom": 20.86,
  "e_form_raw_ev_per_atom": 0.303,
  "polymorph_energy_ev_per_atom": 0.339,
  "spacegroup": "C2/m (12)",
  "cell": [[-4.5603, 2.3123, -1.4959], [0.0591, -5.3266, 0.0718], [-1.0312, 0.0170, 3.1212]],
  "species": ["Cl", "Hg", "Hg", "Fe"],
  "fractional_positions": [[0.5000, 0.0000, 0.5000], [0.0000, 0.0000, 0.0000], [0.5000, 0.5000, 0.0000], [0.0000, 0.5000, 0.5000]]
}

=====

Repeat the first record exactly.
{
  "formula": "LaBiO",
  "functional": "PBE",
  "state": "relaxed",
  "m_tot_mub_per_fu": 0.1,
  "vol_a3_per_atom": 25.81,
  "e_form_raw_ev_per_atom": -1.927,
  "polymorph_energy_ev_per_atom": 0.043,
  "spacegroup": "P-3m1 (164)",
  "cell": [[-1.0610, 3.1022, -2.4752], [1.0696, -3.6298, -1.5988], [-10.1088, -3.1490, 0.3863]],
  "species": ["La", "La", "Bi", "Bi", "O", "O"],
  "fractional_positions": [[0.6667, 0.3333, 0.1415], [0.3333, 0.6667, 0.8585], [0.6667, 0.3333, 0.5944], [0.3333, 0.6667, 0.4056], [0.6667, 0.3333, 0.9165], [0.3333, 0.6667, 0.0835]]
}

=====

> Number 3 is which compound?

FeHg2Cl